A plane-wave DFT calculation with GGA+U was carried out for a geometry-optimized ZnCoH2O structure.

Geometry as POSCAR:
```
ZnCoH2O
1.0
-1.584 1.018 -2.527
-2.191 -4.306 -0.362
-2.322 1.025 1.869
H Zn Co O
2 1 1 1
direct
0.000 0.000 0.500
0.500 0.000 0.000
0.000 0.000 0.000
0.500 0.500 0.500
0.000 0.500 0.000
```

final energy	-3.58	eV/atom
crystal system	tetragonal